Material: Li3MnVP3O12
Method: DFT, PBE with a Hubbard U
State: relaxed

abc: 9.2551 8.3858 8.4188
angles: 60.41 63.27 90.50
Last column: nearest neighbours and their distance in Å.
Element x y z (fractional)
O 0.1671 0.4810 0.3516  1 P 1.60
O 0.1237 0.8343 0.3750  1 P 1.58
O 0.4107 0.0518 0.2168  1 P 1.52
O 0.7607 0.1425 0.1026  1 P 1.53
O 0.8367 0.8352 0.6765  1 P 1.57
O 0.8329 0.5190 0.6484  1 P 1.60
O 0.0973 0.4541 0.6941  1 P 1.60
O 0.1061 0.7619 0.7447  1 P 1.60
O 0.3991 0.6266 0.3609  1 P 1.50
O 0.9027 0.5459 0.3059  1 P 1.60
O 0.2724 0.2604 0.5849  1 P 1.53
O 0.2535 0.1303 0.0098  1 P 1.53
O 0.5828 0.2158 0.3787  1 P 1.52
O 0.2393 0.8575 0.8974  1 P 1.53
O 0.5893 0.9482 0.7832  1 P 1.52
O 0.7276 0.7396 0.4151  1 P 1.53
O 0.1842 0.5138 0.9941  1 P 1.57
O 0.8939 0.2381 0.2553  1 P 1.60
O 0.8158 0.4862 0.0059  1 P 1.57
O 0.6009 0.3734 0.6391  1 P 1.50
O 0.1633 0.1648 0.3235  1 P 1.57
O 0.8763 0.1657 0.6250  1 P 1.58
O 0.4172 0.7842 0.6213  1 P 1.52
O 0.7465 0.8697 0.9902  1 P 1.53
Li 0.3708 0.1768 0.3830  3 O 1.97-2.04
Li 0.1286 0.7421 0.1980  3 O 1.90-2.06
Li 0.8691 0.6856 0.0553  3 O 1.93-2.02
Li 0.6292 0.8232 0.6170  3 O 1.97-2.04
Li 0.8714 0.2579 0.8020  3 O 1.90-2.06
Li 0.1309 0.3144 0.9447  3 O 1.93-2.02
P 0.7552 0.5417 0.5058  4 O 1.50-1.60
P 0.2448 0.4583 0.4942  4 O 1.50-1.60
P 0.7552 0.2674 0.1884  4 O 1.52-1.60
P 0.7566 0.9514 0.7767  4 O 1.52-1.58
P 0.2434 0.0486 0.2233  4 O 1.52-1.58
P 0.2448 0.7326 0.8116  4 O 1.52-1.60
V 0.9691 0.6570 0.6849  6 O 1.90-2.07
V 0.0309 0.3430 0.3151  6 O 1.90-2.07
Mn 0.5638 0.8603 0.2819  6 O 2.09-2.26
Mn 0.4362 0.1397 0.7181  6 O 2.09-2.26

## Properties
SG: No. 2
Excess energy over the best structure of this formula in the dataset (eV/f.u.): 0.000
Spin magnetization (μB/f.u.): 6.00